No. 1
In2CuSe4 | PBE-GGA | relaxed

Cell lengths 5.7206, 5.7206, 7.0978 Å; angles 113.76, 113.76, 90.00 degrees
Positions (direct):
In1 0.0000 0.0000 0.0000
In2 0.2500 0.7500 0.5000
Se1 0.6299 0.1632 0.7419
Se2 0.4213 0.3701 0.2581
Se3 0.1120 0.5787 0.7419
Se4 0.8368 0.8880 0.2581
Cu1 0.5000 0.5000 0.0000

No. 2
In5CuSe8 | PBE-GGA | relaxed

Computed properties:
The polymorph energy (0 for the lowest one) is 0.000 eV per atom.

Cell lengths 5.8957, 5.8957, 11.7722 Å; angles 90.00, 90.00, 90.00 degrees
Positions (direct):
Cu1 0.5000 0.5000 0.5000
Se1 0.7541 0.2459 0.3947
Se2 0.2459 0.7541 0.3947
Se3 0.7541 0.7541 0.6053
Se4 0.2707 0.2707 0.1169
Se5 0.2707 0.7293 0.8831
Se6 0.7293 0.7293 0.1169
Se7 0.2459 0.2459 0.6053
Se8 0.7293 0.2707 0.8831
In1 0.5000 0.0000 0.7383
In2 0.0000 0.0000 0.0000
In3 0.0000 0.5000 0.7383
In4 0.0000 0.5000 0.2617
In5 0.5000 0.0000 0.2617

No. 3
InCu2Se | PBE-GGA | relaxed

Cell lengths 5.4015, 5.4015, 4.1593 Å; angles 65.31, 65.31, 109.57 degrees
Positions (direct):
Cu1 0.0000 0.0000 0.0000
Cu2 0.5000 0.5000 0.0000
Se1 0.0000 0.5000 0.5000
In1 0.5000 0.0000 0.5000

No. 4
InCu2Se | PBE-GGA | relaxed

Cell lengths 6.0761, 6.0761, 6.6839 Å; angles 62.97, 62.97, 90.00 degrees
Positions (direct):
In1 0.0000 0.0000 0.0000
In2 0.7500 0.2500 0.5000
Se1 0.2500 0.7500 0.5000
Se2 0.5000 0.5000 0.0000
Cu1 0.5744 0.1250 0.2500
Cu2 0.8750 0.8244 0.7500
Cu3 0.3750 0.4256 0.7500
Cu4 0.1756 0.6250 0.2500

no.,E_form (uncorrected) (meV per atom)
1,-389
2,-505
3,155
4,123